# 1
This record from Alexandria via LeMat-Bulk describes a relaxed TlCu2Se3 crystal. The functional is PBE.

Raw formation energy   -213 meV/atom

Cell lengths 7.109, 7.109, 12.952 Å; angles 100.53, 100.53, 109.51 degrees
Positions (direct):
1 Tl 0.235 0.399 0.655
2 Tl 0.601 0.765 0.345
3 Tl 0.006 0.670 0.155
4 Tl 0.330 0.994 0.845
5 Cu 0.079 0.242 0.328
6 Cu 0.412 0.588 0.000
7 Cu 0.758 0.921 0.672
8 Cu 0.501 0.164 0.172
9 Cu 0.836 0.499 0.828
10 Cu 0.162 0.838 0.500
11 Cu 0.914 0.086 0.000
12 Cu 0.664 0.336 0.500
13 Se 0.486 0.405 0.846
14 Se 0.818 0.707 0.524
15 Se 0.139 0.080 0.164
16 Se 0.920 0.861 0.836
17 Se 0.293 0.182 0.476
18 Se 0.595 0.514 0.154
19 Se 0.044 0.433 0.976
20 Se 0.390 0.809 0.654
21 Se 0.725 0.166 0.336
22 Se 0.191 0.610 0.346
23 Se 0.567 0.956 0.024
24 Se 0.834 0.275 0.664

---

# 2
This record from Alexandria via LeMat-Bulk describes a relaxed TlCuSe3 crystal. The functional is PBE.

E above lowest polymorph   3 meV per atom
Raw formation energy   -134 meV/atom

Cell lengths 6.453, 6.551, 7.426 Å; angles 83.38, 76.46, 60.49 degrees
Positions (direct):
1 Tl 0.827 0.347 0.750
2 Tl 0.173 0.653 0.250
3 Cu 0.454 0.092 0.250
4 Cu 0.546 0.908 0.750
5 Se 0.334 0.872 0.553
6 Se 0.206 0.128 0.053
7 Se 0.666 0.128 0.447
8 Se 0.794 0.872 0.947
9 Se 0.192 0.616 0.750
10 Se 0.808 0.384 0.250

---

# 3
This record from Alexandria via LeMat-Bulk describes a relaxed TlCu2Se crystal. The functional is PBE.

E above lowest polymorph   210 meV per atom
Raw formation energy   239 meV/atom

Cell lengths 3.538, 3.538, 6.510 Å; angles 90.00, 90.00, 105.65 degrees
Positions (direct):
1 Cu 0.000 0.000 0.051
2 Cu 0.000 0.000 0.449
3 Se 0.500 0.500 0.250
4 Tl 0.500 0.500 0.750

---

# 4
This record from Alexandria via LeMat-Bulk describes a relaxed Tl2CuSe crystal. The functional is PBE.

E above lowest polymorph   288 meV per atom
Raw formation energy   171 meV/atom

Cell lengths 3.750, 3.748, 6.847 Å; angles 90.00, 90.00, 90.00 degrees
Positions (direct):
1 Cu 0.500 0.500 0.250
2 Se 0.500 0.500 0.750
3 Tl 0.000 0.000 0.006
4 Tl 0.000 0.000 0.494

---

Result set for total energy: -3.72; -3.52; -3.27; -2.91 eV per atom, one per record in the order listed.